Entry 1:
Below is KCuF2 after structural relaxation, with properties calculated at the GGA-PBEsol level.

The structure in CIF format:
```
data_KCuF2
_chemical_formula_sum 'K3 Cu3 F6'
_space_group_name_H-M_alt 'R -3 m'
_space_group_IT_number 166
_space_group_name_Hall '-R 3 2"'
_cell_length_a 3.7905
_cell_length_b 3.7905
_cell_length_c 18.9417
_cell_angle_alpha 90.00
_cell_angle_beta 90.00
_cell_angle_gamma 120.00
loop_
_atom_site_label
_atom_site_fract_x
_atom_site_fract_y
_atom_site_fract_z
K1 0.0000 0.0000 0.0000
Cu1 0.0000 0.0000 0.5000
F1 0.0000 0.0000 0.4053
```

Calculated values
crystal system	trigonal
formation energy without anion corrections	-1.872	eV/atom



Entry 2:
Below is K3MgCu2F9 after structural relaxation, with properties calculated at the GGA-PBEsol level.

The structure in CIF format:
```
data_K3MgCu2F9
_chemical_formula_sum 'K3 Mg1 Cu2 F9'
_space_group_name_H-M_alt 'P 4/m m m'
_space_group_IT_number 123
_space_group_name_Hall '-P 4 2'
_cell_length_a 3.986
_cell_length_b 3.986
_cell_length_c 12.014
_cell_angle_alpha 90.00
_cell_angle_beta 90.00
_cell_angle_gamma 90.00
loop_
_atom_site_label
_atom_site_fract_x
_atom_site_fract_y
_atom_site_fract_z
K1 0.000 0.000 0.000
K2 0.000 0.000 0.331
Mg1 0.500 0.500 0.500
Cu1 0.500 0.500 0.166
F1 0.000 0.500 0.165
F2 0.000 0.500 0.500
F3 0.500 0.500 0.000
F4 0.500 0.500 0.334
```

Calculated values
crystal system	tetragonal
formation energy without anion corrections	-2.502	eV/atom



Entry 3:
Below is K4MgCu3F12 after structural relaxation, with properties calculated at the GGA-PBEsol level.

The structure in CIF format:
```
data_K4MgCu3F12
_chemical_formula_sum 'K8 Mg2 Cu6 F24'
_space_group_name_H-M_alt 'I m -3 m'
_space_group_IT_number 229
_space_group_name_Hall '-I 4 2 3'
_cell_length_a 7.998
_cell_length_b 7.998
_cell_length_c 7.998
_cell_angle_alpha 90.00
_cell_angle_beta 90.00
_cell_angle_gamma 90.00
loop_
_atom_site_label
_atom_site_fract_x
_atom_site_fract_y
_atom_site_fract_z
K1 0.250 0.250 0.250
Mg1 0.000 0.000 0.000
Cu1 0.000 0.000 0.500
F1 0.000 0.000 0.249
F2 0.000 0.250 0.500
```

Calculated values
crystal system	cubic
formation energy without anion corrections	-2.391	eV/atom
relative energy among the computed polymorphs	0.16	kcal/mol of atoms